# 1
CeSm2Pu | PBE | relaxed

Cell: 3.5423 3.5423 11.7861 Å, 81.36 81.36 60.00°
Last column: nearest neighbours and their distance in Å.
Atoms (fractional coordinates):
Ce 0.5003 0.5003 0.4992  6 Ce 3.54, 6 Sm 3.58-3.59
Pu 0.6665 0.6665 0.0006  6 Sm 3.51-3.52, 6 Pu 3.54
Sm 0.0821 0.0821 0.7536  3 Pu 3.52, 6 Sm 3.54, 3 Ce 3.59
Sm 0.2512 0.2512 0.2465  3 Pu 3.51, 6 Sm 3.54, 3 Ce 3.58

Values from the calculation:
Excess energy over the best structure of this formula in the dataset: 0.032 eV per formula unit
E_form: 15.7 kJ/mol of atoms
Space-group type: R3m
N(E_F): 13.161 states/eV/cell

# 2
PaCrSn2 | PBE | relaxed

Cell: 3.2201 3.2201 8.5923 Å, 90.00 90.00 90.00°
Last column: nearest neighbours and their distance in Å.
Atoms (fractional coordinates):
Sn 0.0000 0.0000 0.2192  4 Cr 2.95, 4 Sn 3.22
Sn 0.0000 0.0000 0.7808  4 Cr 2.95, 4 Sn 3.22
Pa 0.5000 0.5000 0.5000  4 Pa 3.22, 8 Sn 3.32
Cr 0.5000 0.5000 0.0000  8 Sn 2.95, 4 Cr 3.22

Values from the calculation:
Excess energy over the best structure of this formula in the dataset: 0.277 eV per formula unit
E_form: 10.8 kJ/mol of atoms
Space-group type: P4/mmm
N(E_F): 4.492 states/eV/cell

# 3
Ag2Mo2Pd15 | PBE | relaxed

Cell: 6.9404 6.9404 6.9404 Å, 80.61 80.61 80.61°
Last column: nearest neighbours and their distance in Å.
Atoms (fractional coordinates):
Ag 0.6764 0.6764 0.6764  12 Pd 3.08-3.38, 1 Mo 3.35
Pd 0.6847 0.3153 0.0000  8 Pd 2.71-2.83
Pd 0.3404 0.3404 0.8414  8 Pd 2.59-2.80, 1 Mo 2.89
Pd 0.8414 0.3404 0.3404  8 Pd 2.59-2.80, 1 Mo 2.89
Pd 0.3153 0.0000 0.6847  8 Pd 2.71-2.83
Pd 0.3153 0.6847 0.0000  8 Pd 2.71-2.83
Pd 0.0000 0.6847 0.3153  8 Pd 2.71-2.83
Pd 0.0000 0.0000 0.5000  8 Pd 2.59-2.71, 2 Mo 2.85
Pd 0.6596 0.1586 0.6596  8 Pd 2.59-2.80, 1 Mo 2.89
Pd 0.5000 0.0000 0.0000  8 Pd 2.59-2.71, 2 Mo 2.85
Pd 0.6847 0.0000 0.3153  8 Pd 2.71-2.83
Pd 0.6596 0.6596 0.1586  8 Pd 2.59-2.80, 1 Mo 2.89
Mo 0.0813 0.0813 0.0813  1 Mo 2.25
Pd 0.0000 0.3153 0.6847  8 Pd 2.71-2.83
Pd 0.3404 0.8414 0.3404  8 Pd 2.59-2.80, 1 Mo 2.89
Mo 0.9187 0.9187 0.9187  1 Mo 2.25
Ag 0.3236 0.3236 0.3236  12 Pd 3.08-3.38, 1 Mo 3.35
Pd 0.0000 0.5000 0.0000  8 Pd 2.59-2.71, 2 Mo 2.85
Pd 0.1586 0.6596 0.6596  8 Pd 2.59-2.80, 1 Mo 2.89

Values from the calculation:
E_form: 14.5 kJ/mol of atoms
Space-group type: R-3m
N(E_F): 23.312 states/eV/cell

# 4
LuAgHgBi | PBE | relaxed

Cell: 5.1972 5.1972 5.1972 Å, 60.00 60.00 60.00°
Last column: nearest neighbours and their distance in Å.
Atoms (fractional coordinates):
Bi 0.5000 0.5000 0.5000  4 Ag 3.18, 4 Lu 3.18
Lu 0.7500 0.7500 0.7500  4 Hg 3.18, 4 Bi 3.18
Hg 0.0000 0.0000 0.0000  4 Lu 3.18, 4 Ag 3.18
Ag 0.2500 0.2500 0.2500  4 Hg 3.18, 4 Bi 3.18

Values from the calculation:
E_form: -17.8 kJ/mol of atoms
Space-group type: F-43m
N(E_F): 4.338 states/eV/cell

Look up the E_form of the first one.
15.7 kJ/mol of atoms

Please write out number 3 again, unchanged.
Ag2Mo2Pd15 | PBE | relaxed

Cell: 6.9404 6.9404 6.9404 Å, 80.61 80.61 80.61°
Last column: nearest neighbours and their distance in Å.
Atoms (fractional coordinates):
Ag 0.6764 0.6764 0.6764  12 Pd 3.08-3.38, 1 Mo 3.35
Pd 0.6847 0.3153 0.0000  8 Pd 2.71-2.83
Pd 0.3404 0.3404 0.8414  8 Pd 2.59-2.80, 1 Mo 2.89
Pd 0.8414 0.3404 0.3404  8 Pd 2.59-2.80, 1 Mo 2.89
Pd 0.3153 0.0000 0.6847  8 Pd 2.71-2.83
Pd 0.3153 0.6847 0.0000  8 Pd 2.71-2.83
Pd 0.0000 0.6847 0.3153  8 Pd 2.71-2.83
Pd 0.0000 0.0000 0.5000  8 Pd 2.59-2.71, 2 Mo 2.85
Pd 0.6596 0.1586 0.6596  8 Pd 2.59-2.80, 1 Mo 2.89
Pd 0.5000 0.0000 0.0000  8 Pd 2.59-2.71, 2 Mo 2.85
Pd 0.6847 0.0000 0.3153  8 Pd 2.71-2.83
Pd 0.6596 0.6596 0.1586  8 Pd 2.59-2.80, 1 Mo 2.89
Mo 0.0813 0.0813 0.0813  1 Mo 2.25
Pd 0.0000 0.3153 0.6847  8 Pd 2.71-2.83
Pd 0.3404 0.8414 0.3404  8 Pd 2.59-2.80, 1 Mo 2.89
Mo 0.9187 0.9187 0.9187  1 Mo 2.25
Ag 0.3236 0.3236 0.3236  12 Pd 3.08-3.38, 1 Mo 3.35
Pd 0.0000 0.5000 0.0000  8 Pd 2.59-2.71, 2 Mo 2.85
Pd 0.1586 0.6596 0.6596  8 Pd 2.59-2.80, 1 Mo 2.89

Values from the calculation:
E_form: 14.5 kJ/mol of atoms
Space-group type: R-3m
N(E_F): 23.312 states/eV/cell

Among the records above, which one has the lowest N(E_F)?
LuAgHgBi